(1)
Density functional theory data (SCAN) for a PBEsol-optimized structure of EuMg2.

Computed properties:
final energy: -21.340 eV/atom
energy of formation from the pure elements: -0.120 eV per atom

Unit cell a=6.1917 b=6.1917 c=6.1917 alpha=60.00 beta=60.00 gamma=60.00
Closest atoms and distances in Å follow each position.
Fractional coordinates of all 6 atoms:
Eu 0.1250 0.1250 0.1250  12 Mg 3.63, 4 Eu 3.79
Eu 0.8750 0.8750 0.8750  12 Mg 3.63, 4 Eu 3.79
Mg 0.0000 0.5000 0.5000  6 Mg 3.10
Mg 0.5000 0.0000 0.5000  6 Mg 3.10
Mg 0.5000 0.5000 0.0000  6 Mg 3.10
Mg 0.5000 0.5000 0.5000  6 Mg 3.10

(2)
Density functional theory data (SCAN) for a PBEsol-optimized structure of ScCd2Hg.

Computed properties:
final energy: -36.051 eV/atom
energy of formation from the pure elements: -0.243 eV per atom

Unit cell a=3.1128 b=4.7649 c=5.7584 alpha=90.00 beta=99.64 gamma=90.00
Closest atoms and distances in Å follow each position.
Fractional coordinates of all 4 atoms:
Sc 0.0000 0.0000 0.0000  2 Hg 3.04, 2 Sc 3.11, 8 Cd 3.13-3.22
Cd 0.3917 0.5000 0.7529  4 Cd 2.81-3.11, 2 Hg 2.84, 2 Sc 3.13
Cd 0.6083 0.5000 0.2471  4 Cd 2.81-3.11, 2 Hg 2.84, 2 Sc 3.13
Hg 0.5000 0.0000 0.5000  4 Cd 2.84, 2 Sc 3.04, 2 Hg 3.11

(3)
Density functional theory data (SCAN) for a PBEsol-optimized structure of ScZnPt3.

Computed properties:
final energy: -47.661 eV/atom
energy of formation from the pure elements: 0.005 eV per atom

Unit cell a=4.5354 b=4.5354 c=4.5354 alpha=90.00 beta=90.00 gamma=90.00
Closest atoms and distances in Å follow each position.
Fractional coordinates of all 5 atoms:
Sc 0.0000 0.0000 0.0000  12 Pt 3.21
Zn 0.5000 0.5000 0.5000  6 Pt 2.27
Pt 0.0000 0.5000 0.5000  2 Zn 2.27
Pt 0.5000 0.0000 0.5000  2 Zn 2.27
Pt 0.5000 0.5000 0.0000  2 Zn 2.27

Total magnetization, record by record: 15.207; 0.387; 0.000 μB/cell